Here is crystalline BaNi2HgF8 at its relaxed geometry from Alexandria. Energies are from GGA+U.

Calculated total energy (eV/atom): -4.202

Cell lengths 4.506, 5.379, 8.126 Å; angles 83.49, 88.43, 80.66 degrees
Site moments in Bohr magnetons follow the coordinates.
Positions (direct):
F 0.105 0.738 0.804  0.02
F 0.895 0.262 0.196  0.02
F 0.592 0.716 0.005  0.05
F 0.438 0.262 0.408  0.03
F 0.562 0.738 0.592  0.03
F 0.143 0.725 0.244  0.03
F 0.408 0.284 0.995  0.05
F 0.857 0.275 0.756  0.03
Ba 0.000 0.000 0.500  0.00
Ni 0.517 0.538 0.806  1.82
Ni 0.483 0.462 0.194  1.82
Hg 0.000 0.000 0.000  0.00